Entry 1:
Li3U2PdSe6 GGA-PBE relaxed; volume = 21.9 A^3/atom; E_form (uncorrected) = -1040 meV per atom; calculated density = 6797 kg/m3
1.0
3.4197 -5.9119 0.0000
3.4197 5.9119 0.0000
-2.2772 0.0000 6.5082
Li U Pd Se
3 2 1 6
Direct
0.0000 0.0000 0.0000 Li
0.3360 0.6640 0.0000 Li
0.6640 0.3360 0.0000 Li
0.1667 0.8333 0.5000 U
0.8333 0.1667 0.5000 U
0.5000 0.5000 0.5000 Pd
0.0789 0.4152 0.2465 Se
0.2484 0.2484 0.7553 Se
0.4152 0.0789 0.2465 Se
0.5848 0.9211 0.7535 Se
0.7516 0.7516 0.2447 Se
0.9211 0.5848 0.7535 Se

Entry 2:
SmGa4Rh3 GGA-PBE relaxed; volume = 16.9 A^3/atom; ΔE_f = -533.1 meV/atom; calculated density = 9074 kg/m3
1.0
8.8903 0.0000 0.0000
0.0000 6.5301 0.0000
0.0000 0.0000 4.6527
Sm Ga Rh
2 8 6
Direct
0.0000 0.0000 0.0000 Sm
0.5000 0.0000 0.0000 Sm
0.0000 0.2932 0.5000 Ga
0.0000 0.7068 0.5000 Ga
0.2500 0.2996 0.0996 Ga
0.2500 0.7004 0.0996 Ga
0.5000 0.2932 0.5000 Ga
0.5000 0.7068 0.5000 Ga
0.7500 0.2996 0.9004 Ga
0.7500 0.7004 0.9004 Ga
0.0000 0.5000 0.0000 Rh
0.2500 0.0000 0.4519 Rh
0.2500 0.5000 0.6169 Rh
0.5000 0.5000 0.0000 Rh
0.7500 0.0000 0.5481 Rh
0.7500 0.5000 0.3831 Rh

Entry 3:
Sm2PdAuO5 GGA-PBE relaxed; volume = 14.7 A^3/atom; E_form (uncorrected) = -1717 meV per atom; calculated density = 8601 kg/m3
1.0
1.7594 -6.6706 0.0000
1.7594 6.6706 0.0000
0.0000 0.0000 11.2542
Sm Pd Au O
4 2 2 10
Direct
0.1019 0.8981 0.5000 Sm
0.1458 0.8542 0.1044 Sm
0.8542 0.1458 0.6044 Sm
0.8981 0.1019 0.0000 Sm
0.1976 0.8024 0.8264 Pd
0.8024 0.1976 0.3264 Pd
0.4702 0.5298 0.2666 Au
0.5298 0.4702 0.7666 Au
0.0593 0.9407 0.9082 O
0.2680 0.7320 0.4059 O
0.3118 0.6882 0.0691 O
0.3292 0.6708 0.7404 O
0.4839 0.5161 0.5861 O
0.5161 0.4839 0.0861 O
0.6708 0.3292 0.2404 O
0.6882 0.3118 0.5691 O
0.7320 0.2680 0.9059 O
0.9407 0.0593 0.4082 O

Entry 4:
La6OsAu3 GGA-PBE relaxed; volume = 31.8 A^3/atom; ΔE_f = -521.6 meV/atom; calculated density = 8420 kg/m3
1.0
7.4006 0.0000 0.0000
0.0000 7.9616 0.0000
-6.4506 0.0000 10.8089
La Os Au
12 2 6
Direct
0.0804 0.0540 0.2432 La
0.0804 0.4460 0.7432 La
0.2299 0.6899 0.0803 La
0.2299 0.8101 0.5803 La
0.3713 0.1729 0.0651 La
0.3713 0.3271 0.5651 La
0.6287 0.6729 0.4349 La
0.6287 0.8271 0.9349 La
0.7701 0.1899 0.4197 La
0.7701 0.3101 0.9197 La
0.9196 0.5540 0.2568 La
0.9196 0.9460 0.7568 La
0.0000 0.0000 0.0000 Os
0.0000 0.5000 0.5000 Os
0.3226 0.1118 0.7711 Au
0.3226 0.3882 0.2711 Au
0.5000 0.0000 0.5000 Au
0.5000 0.5000 0.0000 Au
0.6774 0.6118 0.7289 Au
0.6774 0.8882 0.2289 Au

Entry 5:
Ga2OsPt GGA-PBE relaxed; volume = 14.6 A^3/atom; ΔE_f = -196.5 meV/atom; distance to the lowest polymorph of the same formula = 71 meV per atom; calculated density = 14930 kg/m3
1.0
0.0000 3.0788 3.0788
3.0788 0.0000 3.0788
3.0788 3.0788 0.0000
Ga Os Pt
2 1 1
Direct
0.2500 0.2500 0.2500 Ga
0.7500 0.7500 0.7500 Ga
0.0000 0.0000 0.0000 Os
0.5000 0.5000 0.5000 Pt

Entry 6:
Dy2MgAl2Pd5 GGA-PBE relaxed; volume = 18.3 A^3/atom; ΔE_f = -785.0 meV/atom; calculated density = 8499 kg/m3
1.0
10.2284 0.0000 0.0000
0.0000 10.2284 0.0000
0.0000 0.0000 3.4938
Dy Mg Al Pd
4 2 4 10
Direct
0.1752 0.3248 0.0000 Dy
0.3248 0.8248 0.0000 Dy
0.6752 0.1752 0.0000 Dy
0.8248 0.6752 0.0000 Dy
0.0000 0.0000 0.0000 Mg
0.5000 0.5000 0.0000 Mg
0.1244 0.6244 0.0000 Al
0.3756 0.1244 0.0000 Al
0.6244 0.8756 0.0000 Al
0.8756 0.3756 0.0000 Al
0.0000 0.5000 0.5000 Pd
0.0608 0.7911 0.5000 Pd
0.2089 0.0608 0.5000 Pd
0.2911 0.5608 0.5000 Pd
0.4392 0.2911 0.5000 Pd
0.5000 0.0000 0.5000 Pd
0.5608 0.7089 0.5000 Pd
0.7089 0.4392 0.5000 Pd
0.7911 0.9392 0.5000 Pd
0.9392 0.2089 0.5000 Pd

Entry 7:
KLiCaHg2 GGA-PBE relaxed; volume = 37.2 A^3/atom; ΔE_f = 303.7 meV/atom; calculated density = 4356 kg/m3
1.0
5.9224 0.0000 0.0000
0.0000 5.9224 0.0000
0.0000 0.0000 5.2962
K Li Ca Hg
1 1 1 2
Direct
0.0000 0.0000 0.0000 K
0.0000 0.0000 0.5000 Li
0.5000 0.5000 0.5000 Ca
0.0000 0.5000 0.0000 Hg
0.5000 0.0000 0.0000 Hg

Entry 8:
BaHg2Br GGA-PBE relaxed; volume = 33.3 A^3/atom; distance to the lowest polymorph of the same formula = 66 meV per atom; E_form (uncorrected) = -831 meV per atom; calculated density = 7712 kg/m3
1.0
-2.5815 2.5944 4.9705
2.5815 -2.5944 4.9705
2.5815 2.5944 -4.9705
Ba Hg Br
1 2 1
Direct
0.0000 0.0000 0.0000 Ba
0.4994 0.4994 0.0000 Hg
0.7494 0.2494 0.5000 Hg
0.2493 0.7493 0.5000 Br